Arrangement one

# TcTe2Os (PBE, optimized geometry)
data_TcTe2Os
_chemical_formula_sum 'Tc2 Te4 Os2'
_cell_length_a 3.2473
_cell_length_b 4.5763
_cell_length_c 10.7424
_cell_angle_alpha 90.00
_cell_angle_beta 90.00
_cell_angle_gamma 90.00
_symmetry_space_group_name_H-M 'I m m 2'
_symmetry_Int_Tables_number 44
loop_
_symmetry_equiv_pos_as_xyz
'x,y,z'
'-x,-y,z'
'-x,y,z'
'x,-y,z'
'x+1/2,y+1/2,z+1/2'
'-x+1/2,-y+1/2,z+1/2'
'-x+1/2,y+1/2,z+1/2'
'x+1/2,-y+1/2,z+1/2'
loop_
_atom_site_label
_atom_site_type_symbol
_atom_site_fract_x
_atom_site_fract_y
_atom_site_fract_z
Tc1 Tc 0.0000 0.0000 0.0000
Te1 Te 0.0000 0.0000 0.4805
Te2 Te 0.0000 0.5000 0.7039
Os1 Os 0.0000 0.5000 0.1838
# Total moment ... 0.0 μB per cell
# V ... 19.95 Å³/atom

Arrangement two

# TcTe2Os (PBE, optimized geometry)
data_TcTe2Os
_chemical_formula_sum 'Tc3 Te6 Os3'
_cell_length_a 3.3040
_cell_length_b 3.3040
_cell_length_c 26.6376
_cell_angle_alpha 90.00
_cell_angle_beta 90.00
_cell_angle_gamma 120.00
_symmetry_space_group_name_H-M 'R -3 m'
_symmetry_Int_Tables_number 166
_symmetry_space_group_name_Hall '-R 3 2"'
loop_
_atom_site_label
_atom_site_type_symbol
_atom_site_fract_x
_atom_site_fract_y
_atom_site_fract_z
Tc1 Tc 0.0000 0.0000 0.0000
Te1 Te 0.0000 0.0000 0.0945
Os1 Os 0.0000 0.0000 0.5000
# Total moment ... 0.0 μB per cell
# V ... 20.99 Å³/atom

Which of them is the most stable, and which is the least stable? arrangement one and arrangement two, in that order.

Arrangement one

# TcTe2Os (PBE, optimized geometry)
data_TcTe2Os
_chemical_formula_sum 'Tc2 Te4 Os2'
_cell_length_a 3.2121
_cell_length_b 5.4536
_cell_length_c 8.8499
_cell_angle_alpha 90.00
_cell_angle_beta 90.00
_cell_angle_gamma 90.00
_symmetry_space_group_name_H-M 'C m m m'
_symmetry_Int_Tables_number 65
_symmetry_space_group_name_Hall '-C 2 2'
loop_
_atom_site_label
_atom_site_type_symbol
_atom_site_fract_x
_atom_site_fract_y
_atom_site_fract_z
Tc1 Tc 0.0000 0.0000 0.0000
Te1 Te 0.0000 0.5000 0.2485
Os1 Os 0.0000 0.0000 0.5000
# Total moment ... 0.0 μB per cell
# V ... 19.38 Å³/atom

Arrangement two

# TcTe2Os (PBE, optimized geometry)
data_TcTe2Os
_chemical_formula_sum 'Tc1 Te2 Os1'
_cell_length_a 2.9925
_cell_length_b 4.0223
_cell_length_c 7.6994
_cell_angle_alpha 90.00
_cell_angle_beta 91.86
_cell_angle_gamma 90.00
_symmetry_space_group_name_H-M 'P 1 m 1'
_symmetry_Int_Tables_number 6
loop_
_symmetry_equiv_pos_as_xyz
'x,y,z'
'x,-y,z'
loop_
_atom_site_label
_atom_site_type_symbol
_atom_site_fract_x
_atom_site_fract_y
_atom_site_fract_z
Tc1 Tc 0.0000 0.0000 0.0000
Te1 Te 0.2982 0.0000 0.6487
Te2 Te 0.7086 0.5000 0.2128
Os1 Os 0.4871 0.5000 0.8704
# Total moment ... 0.0 μB per cell
# V ... 23.16 Å³/atom

Which of them is the most stable, and which is the least stable? arrangement two and arrangement one, in that order.

Arrangement one

# TcTe2Os (PBE, optimized geometry)
data_TcTe2Os
_chemical_formula_sum 'Tc2 Te4 Os2'
_cell_length_a 5.8221
_cell_length_b 8.7850
_cell_length_c 4.3069
_cell_angle_alpha 90.00
_cell_angle_beta 132.23
_cell_angle_gamma 90.00
_symmetry_space_group_name_H-M 'C 1 2/m 1'
_symmetry_Int_Tables_number 12
loop_
_symmetry_equiv_pos_as_xyz
'x,y,z'
'-x,-y,-z'
'-x,y,-z'
'x,-y,z'
'x+1/2,y+1/2,z'
'-x+1/2,-y+1/2,-z'
'-x+1/2,y+1/2,-z'
'x+1/2,-y+1/2,z'
loop_
_atom_site_label
_atom_site_type_symbol
_atom_site_fract_x
_atom_site_fract_y
_atom_site_fract_z
Tc1 Tc 0.0000 0.0000 0.0000
Te1 Te 0.2500 0.2500 0.5000
Os1 Os 0.0000 0.5000 0.0000
# Total moment ... 0.0 μB per cell
# V ... 20.39 Å³/atom

Arrangement two

# TcTe2Os (PBE, optimized geometry)
data_TcTe2Os
_chemical_formula_sum 'Tc1 Te2 Os1'
_cell_length_a 3.3244
_cell_length_b 3.3183
_cell_length_c 6.6135
_cell_angle_alpha 90.00
_cell_angle_beta 90.11
_cell_angle_gamma 90.00
_symmetry_space_group_name_H-M 'P 1 2/m 1'
_symmetry_Int_Tables_number 10
loop_
_symmetry_equiv_pos_as_xyz
'x,y,z'
'-x,-y,-z'
'-x,y,-z'
'x,-y,z'
loop_
_atom_site_label
_atom_site_type_symbol
_atom_site_fract_x
_atom_site_fract_y
_atom_site_fract_z
Tc1 Tc 0.0000 0.0000 0.0000
Te1 Te 0.4990 0.5000 0.7522
Os1 Os 0.0000 0.0000 0.5000
# Total moment ... 0.0 μB per cell
# V ... 18.24 Å³/atom

Which of them is the most stable, and which is the least stable? arrangement two and arrangement one, in that order.

Arrangement one

# TcTe2Os (PBE, optimized geometry)
data_TcTe2Os
_chemical_formula_sum 'Tc2 Te4 Os2'
_cell_length_a 10.0301
_cell_length_b 3.0748
_cell_length_c 7.0581
_cell_angle_alpha 90.00
_cell_angle_beta 111.41
_cell_angle_gamma 90.00
_symmetry_space_group_name_H-M 'C 1 m 1'
_symmetry_Int_Tables_number 8
loop_
_symmetry_equiv_pos_as_xyz
'x,y,z'
'x,-y,z'
'x+1/2,y+1/2,z'
'x+1/2,-y+1/2,z'
loop_
_atom_site_label
_atom_site_type_symbol
_atom_site_fract_x
_atom_site_fract_y
_atom_site_fract_z
Tc1 Tc 0.0000 0.0000 0.0000
Te1 Te 0.0752 0.5000 0.7376
Te2 Te 0.2098 0.5000 0.2627
Os1 Os 0.2877 0.0000 0.0002
# Total moment ... 0.0 μB per cell
# V ... 25.33 Å³/atom

Arrangement two

# TcTe2Os (PBE, optimized geometry)
data_TcTe2Os
_chemical_formula_sum 'Tc4 Te8 Os4'
_cell_length_a 5.9161
_cell_length_b 5.9161
_cell_length_c 11.8505
_cell_angle_alpha 90.00
_cell_angle_beta 90.00
_cell_angle_gamma 90.00
_symmetry_space_group_name_H-M 'I -4 2 d'
_symmetry_Int_Tables_number 122
_symmetry_space_group_name_Hall 'I -4 2bw'
loop_
_atom_site_label
_atom_site_type_symbol
_atom_site_fract_x
_atom_site_fract_y
_atom_site_fract_z
Tc1 Tc 0.0000 0.0000 0.0000
Te1 Te 0.2477 0.2500 0.6250
Os1 Os 0.0000 0.0000 0.5000
# Total moment ... 0.0 μB per cell
# V ... 25.92 Å³/atom

Which of them is the most stable, and which is the least stable? arrangement one and arrangement two, in that order.